An optimized crystal structure of TiSnSN2, computed with PBE.

Results
Its space group is P4/mmm, No. 123. The calculation puts the total energy at -28.04 eV/cell. The calculation puts the formation energy without anion corrections at 927 meV per atom.

Cell lengths 4.035, 4.035, 5.131 Å; angles 90.00, 90.00, 90.00 degrees
Fractional coordinates of all 5 atoms:
1 Ti 0.000 0.000 0.000
2 Sn 0.500 0.500 0.500
3 S 0.500 0.500 0.000
4 N 0.000 0.500 0.500
5 N 0.500 0.000 0.500